[1]
## SbRuC2 (GGA-PBE)

Data for crystalline SbRuC2 at its relaxed geometry.

Properties
**Energy above the lowest structure with this stoichiometry**: 0 meV/atom
**Symmetry**: No. 122

a = 5.9270 Å, b = 5.9270 Å, c = 5.9270 Å
α = 130.51°, β = 130.51°, γ = 72.59°
Closest atoms and distances in Å follow each position.
Fractional coordinates of all 8 atoms:
Sb  0.0000  0.0000  0.0000  4 C 2.26
Sb  0.7500  0.2500  0.5000  4 C 2.26
Ru  0.2500  0.7500  0.5000  4 C 2.00
Ru  0.5000  0.5000  0.0000  4 C 2.00
C  0.1711  0.6250  0.0461  2 Ru 2.00
C  0.3750  0.4211  0.5461  2 Ru 2.00
C  0.5789  0.1250  0.9539  2 Ru 2.00
C  0.8750  0.8289  0.4539  2 Ru 2.00



[2]
## Tb5Tl5Ir (GGA-PBE)

Data for crystalline Tb5Tl5Ir at its relaxed geometry.

Properties
**DFT formation energy**: -0.267 eV per atom
**Symmetry**: No. 12

a = 8.2258 Å, b = 8.2258 Å, c = 9.3274 Å
α = 120.37°, β = 120.37°, γ = 38.72°
Closest atoms and distances in Å follow each position.
Fractional coordinates of all 11 atoms:
Tb  0.0000  0.0000  0.0000  2 Ir 2.73
Tb  0.3448  0.3448  0.0528  1 Ir 2.71
Tb  0.3537  0.3537  0.6606  1 Ir 2.73
Tb  0.6463  0.6463  0.3394  1 Ir 2.73
Tb  0.6552  0.6552  0.9472  1 Ir 2.71
Tl  0.0923  0.0923  0.7120  3 Tl 3.22-3.42, 3 Tb 3.30-3.48
Tl  0.2355  0.2355  0.2572  5 Tb 3.12-3.33, 1 Tl 3.47
Tl  0.5000  0.5000  0.5000  6 Tl 3.22-3.47, 4 Tb 3.32-3.53
Tl  0.7645  0.7645  0.7428  5 Tb 3.12-3.33, 1 Tl 3.47
Tl  0.9077  0.9077  0.2880  3 Tl 3.22-3.42, 3 Tb 3.30-3.48
Ir  0.5000  0.5000  0.0000  6 Tb 2.71-2.73



[3]
## YZrSc2Ru (GGA-PBE)

Data for crystalline YZrSc2Ru at its relaxed geometry.

Properties
**DFT formation energy**: -0.043 eV per atom
**Symmetry**: No. 123

a = 5.0549 Å, b = 5.0549 Å, c = 5.0701 Å
α = 90.00°, β = 90.00°, γ = 90.00°
Closest atoms and distances in Å follow each position.
Fractional coordinates of all 5 atoms:
Y  0.0000  0.0000  0.0000  4 Zr 3.57, 8 Sc 3.58
Zr  0.5000  0.5000  0.0000  2 Ru 2.54
Sc  0.0000  0.5000  0.5000  2 Ru 2.53
Sc  0.5000  0.0000  0.5000  2 Ru 2.53
Ru  0.5000  0.5000  0.5000  4 Sc 2.53, 2 Zr 2.54



[4]
## AcPm8Ir6 (GGA-PBE)

Data for crystalline AcPm8Ir6 at its relaxed geometry.

Properties
**DFT formation energy**: -0.608 eV per atom
**Symmetry**: No. 148

a = 7.9246 Å, b = 7.9246 Å, c = 7.9246 Å
α = 65.35°, β = 65.35°, γ = 65.35°
Closest atoms and distances in Å follow each position.
Fractional coordinates of all 15 atoms:
Ac  0.0000  0.0000  0.0000  6 Ir 3.08
Pm  0.1072  0.7745  0.4560  5 Ir 2.94-3.19
Pm  0.2255  0.5440  0.8928  5 Ir 2.94-3.19
Pm  0.3362  0.3362  0.3362  6 Ir 3.02-3.07
Pm  0.4560  0.1072  0.7745  5 Ir 2.94-3.19
Pm  0.5440  0.8928  0.2255  5 Ir 2.94-3.19
Pm  0.6638  0.6638  0.6638  6 Ir 3.02-3.07
Pm  0.7745  0.4560  0.1072  5 Ir 2.94-3.19
Pm  0.8928  0.2255  0.5440  5 Ir 2.94-3.19
Ir  0.0603  0.3947  0.7220  7 Pm 2.94-3.19, 1 Ac 3.08
Ir  0.2780  0.9397  0.6052  7 Pm 2.94-3.19, 1 Ac 3.08
Ir  0.3947  0.7220  0.0603  7 Pm 2.94-3.19, 1 Ac 3.08
Ir  0.6052  0.2780  0.9397  7 Pm 2.94-3.19, 1 Ac 3.08
Ir  0.7220  0.0603  0.3947  7 Pm 2.94-3.19, 1 Ac 3.08
Ir  0.9397  0.6052  0.2780  7 Pm 2.94-3.19, 1 Ac 3.08



[5]
## BaCr2Ni (GGA-PBE)

Data for crystalline BaCr2Ni at its relaxed geometry.

Properties
**Energy above the lowest structure with this stoichiometry**: 604 meV/atom
**DFT formation energy**: 1.057 eV per atom
**Symmetry**: No. 123

a = 4.3288 Å, b = 4.3288 Å, c = 4.7479 Å
α = 90.00°, β = 90.00°, γ = 90.00°
Closest atoms and distances in Å follow each position.
Fractional coordinates of all 4 atoms:
Ba  0.0000  0.0000  0.0000  4 Ni 3.06, 8 Cr 3.21
Cr  0.0000  0.5000  0.5000  4 Cr 3.06, 4 Ba 3.21, 4 Ni 3.21
Cr  0.5000  0.0000  0.5000  4 Cr 3.06, 4 Ba 3.21, 4 Ni 3.21
Ni  0.5000  0.5000  0.0000  4 Ba 3.06, 8 Cr 3.21



[6]
## HfPtSN2 (GGA-PBE)

Data for crystalline HfPtSN2 at its relaxed geometry.

Properties
**Energy above the lowest structure with this stoichiometry**: 0 meV/atom
**Symmetry**: No. 123

a = 4.0649 Å, b = 4.0649 Å, c = 5.1975 Å
α = 90.00°, β = 90.00°, γ = 90.00°
Closest atoms and distances in Å follow each position.
Fractional coordinates of all 5 atoms:
Hf  0.0000  0.0000  0.0000  4 N 2.03
Pt  0.5000  0.5000  0.5000  4 S 2.87
S  0.0000  0.0000  0.5000  2 Hf 2.60, 4 Pt 2.87
N  0.0000  0.5000  0.0000  2 Hf 2.03
N  0.5000  0.0000  0.0000  2 Hf 2.03



[7]
## SmDyPa4 (GGA-PBE)

Data for crystalline SmDyPa4 at its relaxed geometry.

Properties
**DFT formation energy**: 0.237 eV per atom
**Symmetry**: No. 216

a = 6.1636 Å, b = 6.1636 Å, c = 6.1636 Å
α = 60.00°, β = 60.00°, γ = 60.00°
Closest atoms and distances in Å follow each position.
Fractional coordinates of all 6 atoms:
Sm  0.0000  0.0000  0.0000  12 Pa 3.61, 4 Dy 3.77
Dy  0.7500  0.7500  0.7500  12 Pa 3.61, 4 Sm 3.77
Pa  0.3751  0.3751  0.3751  6 Pa 3.08
Pa  0.3751  0.3751  0.8747  6 Pa 3.08
Pa  0.3751  0.8747  0.3751  6 Pa 3.08
Pa  0.8747  0.3751  0.3751  6 Pa 3.08



[8]
## Ni4TeRh (GGA-PBE)

Data for crystalline Ni4TeRh at its relaxed geometry.

Properties
**DFT total energy**: -5.45 eV/atom
**Symmetry**: No. 216

a = 4.8231 Å, b = 4.8231 Å, c = 4.8231 Å
α = 60.00°, β = 60.00°, γ = 60.00°
Closest atoms and distances in Å follow each position.
Fractional coordinates of all 6 atoms:
Ni  0.1241  0.1241  0.1241  6 Ni 2.39-2.43
Ni  0.1241  0.1241  0.6278  6 Ni 2.39-2.43
Ni  0.1241  0.6278  0.1241  6 Ni 2.39-2.43
Ni  0.6278  0.1241  0.1241  6 Ni 2.39-2.43
Te  0.5000  0.5000  0.5000  12 Ni 2.83, 4 Rh 2.95
Rh  0.7500  0.7500  0.7500  12 Ni 2.83, 4 Te 2.95



| no. | volume (A^3/atom) |
| --- | --- |
| 1 | 14.70 |
| 2 | 30.30 |
| 3 | 25.91 |
| 4 | 26.19 |
| 5 | 22.24 |
| 6 | 17.18 |
| 7 | 27.59 |
| 8 | 13.22 |